## A
Here is crystalline SmThHgRu at its relaxed geometry from Alexandria via LeMat-Bulk. Energies are from GGA-PBE.

Computed properties:
Density of states at the Fermi level: 2.96 states/eV per cell

Lattice parameters (Å, degrees): 4.1078 4.1066 8.0102 90.00 104.83 119.99
Positions (direct):
Hg (0.9717, 0.3839, 0.3697)
Sm (0.5000, 0.1480, 0.6633)
Th (0.0978, 0.9468, 0.0593)
Ru (0.3085, 0.5522, 0.8774)

## B
Here is crystalline SmThHgRu at its relaxed geometry from Alexandria via LeMat-Bulk. Energies are from GGA-PBE.

Computed properties:
Density of states at the Fermi level: 3.35 states/eV per cell

Lattice parameters (Å, degrees): 5.1837 5.1837 5.1837 60.00 60.00 60.00
Positions (direct):
Th (0.0000, 0.0000, 0.0000)
Hg (0.2500, 0.2500, 0.2500)
Ru (0.7500, 0.7500, 0.7500)
Sm (0.5000, 0.5000, 0.5000)

Most stable = A